## AgTeHI2 (meta-GGA SCAN)

Data for a crystal of AgTeHI2 relaxed with PBEsol.

The energy comes out at -142.049 eV for the cell shown. For the offset from the most stable computed form, the calculation gives 226.1 meV/atom.

The space group is P4/mmm (No. 123) and the conventional cell measures 5.637, 5.637 and 5.323 Å, with angles of 90.00, 90.00 and 90.00 degrees. The inequivalent atoms are Ag at (0.000, 0.000, 0.000), Te at (0.000, 0.000, 0.500), H at (0.500, 0.500, 0.500) and I at (0.000, 0.500, 0.000).

---

## YCoIr2 (meta-GGA SCAN)

Data for a crystal of YCoIr2 relaxed with PBEsol.

The energy comes out at -750.382 eV for the cell shown. For the offset from the most stable computed form, the calculation gives 169.8 meV/atom.

The space group is F-43m (No. 216) and the conventional cell measures 6.326, 6.326 and 6.326 Å, with angles of 90.00, 90.00 and 90.00 degrees. The inequivalent atoms are Y at (0.000, 0.000, 0.000), Co at (0.250, 0.250, 0.750), Ir at (0.000, 0.000, 0.500) and Ir at (0.250, 0.250, 0.250).

---

## Sr6Bi2O11 (meta-GGA SCAN)

Data for a crystal of Sr6Bi2O11 relaxed with PBEsol.

The energy comes out at -802.533 eV for the cell shown. For the formation energy (no corrections), the calculation gives -2.206 eV/atom.

The space group is P4/nmm (No. 129, origin choice 2) and the conventional cell measures 8.606, 8.606 and 9.014 Å, with angles of 90.00, 90.00 and 90.00 degrees. The inequivalent atoms are Sr at (0.024, 0.024, 0.211), Sr at (0.250, 0.250, 0.937), Sr at (0.250, 0.750, 0.500), Bi at (0.250, 0.250, 0.461), Bi at (0.250, 0.750, 0.000), O at (0.003, 0.750, 0.980), O at (0.019, 0.250, 0.388), O at (0.250, 0.250, 0.687) and O at (0.250, 0.750, 0.230).

---

## Cr3Re (meta-GGA SCAN)

Data for a crystal of Cr3Re relaxed with PBEsol.

The energy comes out at -375.200 eV for the cell shown.

The space group is R-3m (No. 166, hexagonal axes) and the conventional cell measures 2.7080, 2.7080 and 23.3616 Å, with angles of 90.00, 90.00 and 120.00 degrees. The inequivalent atoms are Cr at (0.0000, 0.0000, 0.0000), Cr at (0.0000, 0.0000, 0.2567) and Re at (0.0000, 0.0000, 0.5000).

---

## CrHgIr2 (meta-GGA SCAN)

Data for a crystal of CrHgIr2 relaxed with PBEsol.

The energy comes out at -228.221 eV for the cell shown.

The space group is Pmmm (No. 47) and the conventional cell measures 2.770, 3.422 and 6.354 Å, with angles of 90.00, 90.00 and 90.00 degrees. The inequivalent atoms are Cr at (0.000, 0.000, 0.000), Hg at (0.000, 0.000, 0.500) and Ir at (0.500, 0.500, 0.208).

---

## Be2CdSi (meta-GGA SCAN)

Data for a crystal of Be2CdSi relaxed with PBEsol.

The energy comes out at -93.272 eV for the cell shown. For the formation energy (no corrections), the calculation gives 0.625 eV/atom.

The space group is Immm (No. 71) and the conventional cell measures 2.619, 5.423 and 8.150 Å, with angles of 90.00, 90.00 and 90.00 degrees. The inequivalent atoms are Be at (0.000, 0.000, 0.233), Cd at (0.000, 0.500, 0.000) and Si at (0.000, 0.500, 0.500).

---

## TiCo3 (meta-GGA SCAN)

Data for a crystal of TiCo3 relaxed with PBEsol.

The energy comes out at -68.620 eV for the cell shown.

The space group is Pm-3m (No. 221) and the conventional cell measures 3.523, 3.523 and 3.523 Å, with angles of 90.00, 90.00 and 90.00 degrees. The inequivalent atoms are Ti at (0.000, 0.000, 0.000) and Co at (0.000, 0.500, 0.500).

---

## BaCaPt (meta-GGA SCAN)

Data for a crystal of BaCaPt relaxed with PBEsol.

The energy comes out at -121.524 eV for the cell shown.

The space group is P3m1 (No. 156) and the conventional cell measures 4.3581, 4.3581 and 6.7034 Å, with angles of 90.00, 90.00 and 120.00 degrees. The inequivalent atoms are Ba at (0.0000, 0.0000, 0.0000), Ca at (0.3333, 0.6667, 0.4610) and Pt at (0.6667, 0.3333, 0.2626).

---

Q: Which formula does entry 2 have?
A: YCoIr2